No. 1
The following is a PBE calculation of a relaxed structure of SnH3Rh3, from Alexandria via LeMat-Bulk.

Cell: 7.3767 7.3767 7.3767 Å, 41.32 41.32 41.32°
Last column: nearest neighbours and their distance in Å.
Atoms (fractional coordinates):
1 Sn 0.1665 0.1665 0.1665  6 Rh 2.70, 3 Sn 3.01
2 Sn 0.8335 0.8335 0.8335  6 Rh 2.70, 3 Sn 3.01
3 H 0.0486 0.6948 0.3691  3 Rh 1.81
4 H 0.3052 0.6309 0.9514  3 Rh 1.81
5 H 0.3691 0.0486 0.6948  3 Rh 1.81
6 H 0.6309 0.9514 0.3052  3 Rh 1.81
7 H 0.6948 0.3691 0.0486  3 Rh 1.81
8 H 0.9514 0.3052 0.6309  3 Rh 1.81
9 Rh 0.0522 0.3982 0.7390  3 H 1.81
10 Rh 0.2610 0.9478 0.6018  3 H 1.81
11 Rh 0.3982 0.7390 0.0522  3 H 1.81
12 Rh 0.6018 0.2610 0.9478  3 H 1.81
13 Rh 0.7390 0.0522 0.3982  3 H 1.81
14 Rh 0.9478 0.6018 0.2610  3 H 1.81

Calculated values
- mass density (g/cm3) = 9.043
- energy (eV per atom) = -5.221
- space-group type = R-3

No. 2
The following is a PBE calculation of a relaxed structure of SnHRh3, from Alexandria via LeMat-Bulk.

Cell: 6.3807 6.3807 6.3807 Å, 131.83 131.83 70.50°
Last column: nearest neighbours and their distance in Å.
Atoms (fractional coordinates):
1 Sn 0.1574 0.1574 0.0000  8 Rh 2.64-2.93, 2 H 2.78
2 Sn 0.8426 0.8426 0.0000  8 Rh 2.64-2.93, 2 H 2.78
3 H 0.5000 0.5000 0.0000  4 Rh 1.80
4 H 0.7500 0.2500 0.5000  4 Rh 1.89
5 Rh 0.1168 0.6168 0.5000  2 Sn 2.64, 7 Rh 2.75-2.92, 2 H 2.87
6 Rh 0.1293 0.3831 0.7463  2 H 1.80-1.89
7 Rh 0.3832 0.8832 0.5000  2 Sn 2.64, 7 Rh 2.75-2.92, 2 H 2.87
8 Rh 0.6169 0.3632 0.7463  2 H 1.80-1.89
9 Rh 0.6169 0.8707 0.2537  2 H 1.80-1.89
10 Rh 0.6368 0.3831 0.2537  2 H 1.80-1.89

Calculated values
- relative energy among the computed polymorphs (eV/atom) = 0.380
- mass density (g/cm3) = 10.068
- energy (eV per atom) = -5.809
- space-group type = I-4m2

No. 3
The following is a PBE calculation of a relaxed structure of SnH2Rh2, from Alexandria via LeMat-Bulk.

Cell: 5.6777 5.6777 5.6777 Å, 146.79 146.79 47.68°
Last column: nearest neighbours and their distance in Å.
Atoms (fractional coordinates):
1 Sn 0.0000 0.0000 0.0000  8 Rh 2.76, 8 H 3.06
2 H 0.2500 0.7500 0.5000  4 Rh 1.94
3 H 0.7500 0.2500 0.5000  4 Rh 1.94
4 Rh 0.3524 0.3524 0.0000  4 H 1.94
5 Rh 0.6476 0.6476 0.0000  4 H 1.94

Calculated values
- relative energy among the computed polymorphs (eV/atom) = 0.000
- mass density (g/cm3) = 9.913
- energy (eV per atom) = -5.250
- space-group type = I4/mmm

No. 4
The following is a PBE calculation of a relaxed structure of SnHRh2, from Alexandria via LeMat-Bulk.

Cell: 5.7234 5.7234 6.2127 Å, 90.00 90.00 147.99°
Last column: nearest neighbours and their distance in Å.
Atoms (fractional coordinates):
1 Sn 0.0028 0.9972 0.7500  8 Rh 2.71, 3 H 2.97-2.99
2 Sn 0.9972 0.0028 0.2500  8 Rh 2.71, 3 H 2.97-2.99
3 H 0.2743 0.7257 0.7500  2 Rh 1.78
4 H 0.7257 0.2743 0.2500  2 Rh 1.78
5 Rh 0.3576 0.6424 0.5049  1 H 1.78
6 Rh 0.3576 0.6424 0.9951  1 H 1.78
7 Rh 0.6424 0.3576 0.0049  1 H 1.78
8 Rh 0.6424 0.3576 0.4951  1 H 1.78

Calculated values
- relative energy among the computed polymorphs (eV/atom) = 0.087
- mass density (g/cm3) = 10.021
- energy (eV per atom) = -5.625
- space-group type = Cmcm

No. 5
The following is a PBE calculation of a relaxed structure of SnHRh3, from Alexandria via LeMat-Bulk.

Cell: 5.7082 5.7082 3.9855 Å, 90.10 90.10 92.33°
Last column: nearest neighbours and their distance in Å.
Atoms (fractional coordinates):
1 Sn 0.2347 0.7653 0.0000  1 H 2.24
2 Sn 0.7653 0.2347 0.0000  1 H 2.24
3 H 0.2507 0.2507 0.5068  6 Rh 1.99-2.07
4 H 0.5394 0.5394 0.1026  2 Rh 1.70-1.72
5 Rh 0.2567 0.2567 0.0084  2 H 1.99-2.00
6 Rh 0.5015 0.9981 0.5012  1 H 2.07
7 Rh 0.5037 0.5037 0.5237  1 H 1.70
8 Rh 0.7517 0.7517 0.0059  1 H 1.72
9 Rh 0.9981 0.5015 0.5012  1 H 2.07
10 Rh 0.9994 0.9994 0.5053  1 H 1.99

Calculated values
- relative energy among the computed polymorphs (eV/atom) = 0.107
- mass density (g/cm3) = 10.966
- energy (eV per atom) = -6.082
- space-group type = Cm

No. 6
The following is a PBE calculation of a relaxed structure of SnHRh3, from Alexandria via LeMat-Bulk.

Cell: 4.4749 4.4749 7.8598 Å, 90.00 90.00 120.00°
Last column: nearest neighbours and their distance in Å.
Atoms (fractional coordinates):
1 Sn 0.3333 0.6667 0.2500  5 Rh 2.58
2 Sn 0.6667 0.3333 0.7500  5 Rh 2.58
3 H 0.0000 0.0000 0.0000  2 Rh 1.96
4 H 0.0000 0.0000 0.5000  2 Rh 1.96
5 Rh 0.0000 0.0000 0.2500  2 H 1.96
6 Rh 0.0000 0.0000 0.7500  2 H 1.96
7 Rh 0.3333 0.6667 0.5782  1 Sn 2.58, 3 H 2.66, 4 Rh 2.70-2.86
8 Rh 0.3333 0.6667 0.9218  1 Sn 2.58, 3 H 2.66, 4 Rh 2.70-2.86
9 Rh 0.6667 0.3333 0.0782  1 Sn 2.58, 3 H 2.66, 4 Rh 2.70-2.86
10 Rh 0.6667 0.3333 0.4218  1 Sn 2.58, 3 H 2.66, 4 Rh 2.70-2.86

Calculated values
- relative energy among the computed polymorphs (eV/atom) = 0.353
- mass density (g/cm3) = 10.439
- energy (eV per atom) = -5.836
- space-group type = P6_3/mmc